No. 1
! GGA-PBE HfAsIr2N, relaxed; values from VASP
! D(E_F), states/eV per atom: 0.97
! Mass density, g/cm3: 10.9
! Uncorrected formation energy, eV/f.u.: 6.4
! Final energy, eV per atom: -6.86
&SYSTEM
  ibrav = 0, nat = 5, ntyp = 4
/
ATOMIC_SPECIES
As 74.92 As.upf
Ir 192.22 Ir.upf
Hf 178.49 Hf.upf
N 14.01 N.upf
CELL_PARAMETERS angstrom
4.9869 0.0000 0.0000
0.0000 3.9994 0.0000
0.0000 0.0000 4.9869
ATOMIC_POSITIONS angstrom
As 2.4934 1.9997 2.4934
Ir 0.0000 0.0000 2.4934
Ir 2.4934 0.0000 0.0000
Hf 0.0000 0.0000 0.0000
N 0.0000 1.9997 0.0000

No. 2
! GGA-PBE NaHfAsIr2, relaxed; values from VASP
! D(E_F), states/eV per atom: 1.24
! Mass density, g/cm3: 10.3
! DFT formation energy, eV/atom: 0.610
! Final energy, eV per atom: -6.12
&SYSTEM
  ibrav = 0, nat = 5, ntyp = 4
/
ATOMIC_SPECIES
Na 22.99 Na.upf
As 74.92 As.upf
Ir 192.22 Ir.upf
Hf 178.49 Hf.upf
CELL_PARAMETERS angstrom
4.6660 0.0000 0.0000
0.0000 4.9156 0.0000
0.0000 0.0000 4.6660
ATOMIC_POSITIONS angstrom
Na 2.3330 2.4578 2.3330
As 0.0000 0.0000 0.0000
Ir 0.0000 0.0000 2.3330
Ir 2.3330 0.0000 0.0000
Hf 0.0000 2.4578 0.0000

No. 3
! GGA-PBE Hf2AsIrPd, relaxed; values from VASP
! D(E_F), states/eV per atom: 0.96
! Mass density, g/cm3: 10.4
! DFT formation energy, eV/atom: 0.316
! Final energy, eV per atom: -7.41
&SYSTEM
  ibrav = 0, nat = 5, ntyp = 4
/
ATOMIC_SPECIES
As 74.92 As.upf
Ir 192.22 Ir.upf
Hf 178.49 Hf.upf
Pd 106.42 Pd.upf
CELL_PARAMETERS angstrom
5.0603 0.0000 0.0000
0.0000 4.5336 0.0000
0.0000 0.0000 5.0603
ATOMIC_POSITIONS angstrom
As 0.0000 2.2668 0.0000
Ir 0.0000 0.0000 0.0000
Hf 0.0000 0.0000 2.5302
Hf 2.5302 0.0000 0.0000
Pd 2.5302 2.2668 2.5302

No. 4
! GGA-PBE HfAs2IrSe, relaxed; values from VASP
! D(E_F), states/eV per atom: 1.30
! Mass density, g/cm3: 8.8
! E above lowest polymorph, eV per atom: 0.000
! Uncorrected formation energy, eV/f.u.: 2.6
! Final energy, eV per atom: -5.79
&SYSTEM
  ibrav = 0, nat = 5, ntyp = 4
/
ATOMIC_SPECIES
As 74.92 As.upf
Ir 192.22 Ir.upf
Hf 178.49 Hf.upf
Se 78.96 Se.upf
CELL_PARAMETERS angstrom
-0.3622 3.3574 3.2900
-4.2064 1.2414 -1.7299
-2.2584 -3.3024 3.1215
ATOMIC_POSITIONS angstrom
As -2.1032 0.6207 -0.8649
As -0.1811 1.6787 1.6450
Ir 0.0000 0.0000 0.0000
Hf -3.4134 0.6482 2.3408
Se -1.1292 -1.6512 1.5608